1.
## NpTlHg2Br6 (PBE-GGA)

Data for a geometry-optimized NpTlHg2Br6 structure.

Lattice parameters (Å, degrees): 8.934 8.929 7.648 89.89 125.68 120.16
Element x y z (fractional)
Br 0.846 0.676 0.707
Br 0.147 0.319 0.254
Br 0.441 0.121 0.255
Br 0.552 0.874 0.706
Br 0.046 0.170 0.708
Br 0.947 0.826 0.253
Hg 0.593 0.295 0.874
Hg 0.400 0.701 0.086
Np 0.997 0.998 0.980
Tl 0.996 0.498 0.480

Values from the calculation:
spin magnetization: 2.00 μB per formula unit
uncorrected formation energy: -8.02 eV per formula unit


2.
## HgBr3O (PBE-GGA)

Data for a geometry-optimized HgBr3O structure.

Lattice parameters (Å, degrees): 5.453 5.453 5.453 90.00 90.00 90.00
Element x y z (fractional)
Br 0.500 0.000 0.000
Br 0.000 0.500 0.000
Br 0.000 0.000 0.500
O 0.500 0.500 0.500
Hg 0.000 0.000 0.000

Values from the calculation:
spin magnetization: 0.00 μB per formula unit
E above lowest polymorph: 430.5 meV per atom
uncorrected formation energy: 4.32 eV per formula unit


3.
## HgBr2O (PBE-GGA)

Data for a geometry-optimized HgBr2O structure.

Lattice parameters (Å, degrees): 5.909 6.629 7.133 110.25 101.67 104.13
Element x y z (fractional)
Br 0.595 0.237 0.721
Br 0.080 0.331 0.244
Br 0.048 0.862 0.709
Br 0.396 0.590 0.909
Hg 0.880 0.318 0.520
Hg 0.090 0.831 0.242
O 0.907 0.897 0.462
O 0.264 0.825 0.016

Values from the calculation:
spin magnetization: 0.00 μB per formula unit
E above lowest polymorph: 23.1 meV per atom
uncorrected formation energy: -0.61 eV per formula unit


4.
## HgBrO3 (PBE-GGA)

Data for a geometry-optimized HgBrO3 structure.

Lattice parameters (Å, degrees): 4.019 4.019 4.019 90.00 90.00 90.00
Element x y z (fractional)
Br 0.000 0.000 0.000
Hg 0.500 0.500 0.500
O 0.000 0.500 0.000
O 0.500 0.000 0.000
O 0.000 0.000 0.500

Values from the calculation:
spin magnetization: 0.00 μB per formula unit
uncorrected formation energy: 2.80 eV per formula unit